DFT (GGA+U) results for a relaxed structure of Li4Co2P3O12.

Cell: 9.1662 8.4861 8.3615 Å, 59.27 62.76 61.54°
Closest atoms and distances in Å follow each position.
Sites, in units of the cell vectors:
Co 0.4428 0.8501 0.8578  4 O 1.84-2.06
Co 0.0406 0.6457 0.6607  6 O 2.07-2.18
Co 0.9594 0.3543 0.3393  6 O 2.07-2.18
Co 0.5572 0.1499 0.1422  4 O 1.84-2.06
O 0.5717 0.0272 0.7838  1 P 1.53
O 0.7213 0.1564 0.8658  1 P 1.56
O 0.9030 0.4351 0.8592  1 P 1.56
O 0.1936 0.4508 0.5181  1 P 1.54
O 0.7991 0.5103 0.1601  1 P 1.53
O 0.1090 0.1455 0.2035  1 P 1.57
O 0.9087 0.7994 0.4500  1 P 1.56
O 0.0970 0.5649 0.1408  1 P 1.56
O 0.2787 0.8436 0.1342  1 P 1.56
O 0.4121 0.3823 0.0187  1 P 1.55
O 0.4145 0.1828 0.4038  1 P 1.54
O 0.7950 0.1743 0.5240  1 P 1.56
O 0.2887 0.7373 0.8264  1 P 1.56
O 0.8910 0.8545 0.7965  1 P 1.57
O 0.2050 0.8257 0.4760  1 P 1.56
O 0.4283 0.9728 0.2162  1 P 1.53
O 0.5855 0.8172 0.5962  1 P 1.54
O 0.0913 0.2006 0.5500  1 P 1.56
O 0.7341 0.8956 0.2394  1 P 1.57
O 0.2659 0.1044 0.7606  1 P 1.57
O 0.7113 0.2627 0.1736  1 P 1.56
O 0.8064 0.5492 0.4819  1 P 1.54
O 0.5879 0.6177 0.9813  1 P 1.55
O 0.2009 0.4897 0.8399  1 P 1.53
Li 0.1021 0.9289 0.6870  4 O 1.96-2.04
Li 0.5788 0.2155 0.4705  3 O 2.00-2.12
Li 0.1449 0.6612 0.2784  4 O 1.95-2.14
Li 0.4212 0.7845 0.5295  3 O 2.00-2.12
Li 0.8577 0.7351 0.0792  4 O 1.93-2.10
Li 0.8979 0.0711 0.3130  4 O 1.96-2.04
Li 0.1423 0.2649 0.9208  4 O 1.93-2.10
Li 0.8551 0.3388 0.7216  4 O 1.95-2.14
P 0.7511 0.4583 0.0435  4 O 1.53-1.56
P 0.2412 0.2381 0.5524  4 O 1.54-1.57
P 0.2582 0.9490 0.2541  4 O 1.53-1.57
P 0.7588 0.7619 0.4476  4 O 1.54-1.57
P 0.7418 0.0510 0.7459  4 O 1.53-1.57
P 0.2489 0.5417 0.9565  4 O 1.53-1.56

Calculated values
Calculated density ... 3.0 Mg/m³
E ... -6.4924 eV/atom
Calculated volume ... 471 Å³ per cell